Entry from Alexandria via LeMat-Bulk: a geometry-optimized NaTi2Bi2 structure (GGA-PBE).

**Formation energy from the elements**: -0.2 eV per formula unit
**Polymorph energy (0 for the lowest one)**: 0 meV per atom
**Electronic total energy**: -5.012 eV per atom
**Size of the total moment**: 0.00 μB per formula unit

Cell lengths 4.4517, 4.4517, 7.5958 Å; angles 72.96, 72.96, 90.00 degrees
Fractional positions:
Ti 0.2500 0.7500 0.5000
Ti 0.7500 0.2500 0.5000
Bi 0.6238 0.6238 0.7524
Bi 0.3762 0.3762 0.2476
Na 0.0000 0.0000 0.0000


Entry from Alexandria via LeMat-Bulk: a geometry-optimized NaTiBi2 structure (GGA-PBE).

**Formation energy from the elements**: 0.1 eV per formula unit
**Polymorph energy (0 for the lowest one)**: 191 meV per atom
**Electronic total energy**: -4.216 eV per atom
**Size of the total moment**: 0.15 μB per formula unit

Cell lengths 5.2206, 5.2206, 5.2206 Å; angles 60.00, 60.00, 60.00 degrees
Fractional positions:
Ti 0.5000 0.5000 0.5000
Bi 0.7500 0.7500 0.7500
Bi 0.2500 0.2500 0.2500
Na 0.0000 0.0000 0.0000


Entry from Alexandria via LeMat-Bulk: a geometry-optimized Na2TiBi2 structure (GGA-PBE).

**Formation energy from the elements**: -0.4 eV per formula unit
**Electronic total energy**: -3.729 eV per atom
**Size of the total moment**: 1.93 μB per formula unit

Cell lengths 7.5541, 7.5541, 5.1300 Å; angles 90.00, 90.00, 90.00 degrees
Fractional positions:
Na 0.3365 0.1635 0.5000
Na 0.8365 0.3365 0.5000
Na 0.1635 0.6635 0.5000
Na 0.6635 0.8365 0.5000
Bi 0.3504 0.8504 0.0000
Bi 0.8504 0.6496 0.0000
Bi 0.1496 0.3504 0.0000
Bi 0.6496 0.1496 0.0000
Ti 0.5000 0.5000 0.0000
Ti 0.0000 0.0000 0.0000


Entry from Alexandria via LeMat-Bulk: a geometry-optimized NaTi3Bi structure (GGA-PBE).

**Formation energy from the elements**: 5.5 eV per formula unit
**Polymorph energy (0 for the lowest one)**: 0 meV per atom
**Electronic total energy**: -4.673 eV per atom
**Size of the total moment**: 7.25 μB per formula unit

Cell lengths 5.3847, 5.3847, 5.3847 Å; angles 90.00, 90.00, 90.00 degrees
Fractional positions:
Ti 0.5000 0.0000 0.0000
Ti 0.0000 0.5000 0.0000
Ti 0.0000 0.0000 0.5000
Na 0.5000 0.5000 0.5000
Bi 0.0000 0.0000 0.0000